Computed, not measured: a relaxed structure of YAgSnSe3 at the GGA-PBE level of DFT.

Properties
Relative energy among the computed polymorphs = 0.0 meV/atom
Crystal system = orthorhombic
Space-group type = Cmcm

abc: 7.1364 7.1364 10.6396
angles: 90.00 90.00 146.65
Last column: nearest neighbours and their distance in Å.
Sites, in units of the cell vectors:
Y: 0.0000 0.0000 0.0000  6 Se 2.91-2.96
Y: 0.0000 0.0000 0.5000  6 Se 2.91-2.96
Ag: 0.4694 0.5306 0.7500  4 Se 2.61-2.68
Ag: 0.5306 0.4694 0.2500  4 Se 2.61-2.68
Sn: 0.2399 0.7601 0.2500  6 Se 3.04-3.20
Sn: 0.7601 0.2399 0.7500  6 Se 3.04-3.20
Se: 0.0956 0.9044 0.7500  2 Ag 2.68, 2 Y 2.96
Se: 0.3545 0.6455 0.5535  1 Ag 2.61, 2 Y 2.91
Se: 0.3545 0.6455 0.9465  1 Ag 2.61, 2 Y 2.91
Se: 0.6455 0.3545 0.0535  1 Ag 2.61, 2 Y 2.91
Se: 0.6455 0.3545 0.4465  1 Ag 2.61, 2 Y 2.91
Se: 0.9044 0.0956 0.2500  2 Ag 2.68, 2 Y 2.96



Computed, not measured: a relaxed structure of SrTbAgSe3 at the GGA-PBE level of DFT.

Properties
Crystal system = monoclinic
Space-group type = P2_1/m

abc: 7.9923 4.1513 9.9995
angles: 90.00 106.26 90.00
Last column: nearest neighbours and their distance in Å.
Sites, in units of the cell vectors:
Sr: 0.2483 0.2500 0.2894  6 Se 3.14-3.21
Sr: 0.7517 0.7500 0.7106  6 Se 3.14-3.21
Tb: 0.3080 0.7500 0.8407  6 Se 2.88-2.95
Tb: 0.6920 0.2500 0.1593  6 Se 2.88-2.95
Ag: 0.0926 0.2500 0.5913  3 Se 2.64-2.72, 2 Ag 2.88
Ag: 0.9074 0.7500 0.4087  3 Se 2.64-2.72, 2 Ag 2.88
Se: 0.0595 0.2500 0.8464  1 Ag 2.64, 2 Tb 2.88
Se: 0.2874 0.7500 0.5414  3 Ag 2.72-2.95, 1 Tb 2.95
Se: 0.4318 0.7500 0.1407  3 Tb 2.88-2.91, 2 Sr 3.14
Se: 0.5682 0.2500 0.8593  3 Tb 2.88-2.91, 2 Sr 3.14
Se: 0.7126 0.2500 0.4586  3 Ag 2.72-2.95, 1 Tb 2.95
Se: 0.9405 0.7500 0.1536  1 Ag 2.64, 2 Tb 2.88



Computed, not measured: a relaxed structure of SrTbAgTeSe2 at the GGA-PBE level of DFT.

Properties
Crystal system = orthorhombic
Space-group type = Cmcm

abc: 7.5917 7.5917 11.0506
angles: 90.00 90.00 148.09
Last column: nearest neighbours and their distance in Å.
Sites, in units of the cell vectors:
Sr: 0.2204 0.7796 0.7500  4 Se 3.22, 2 Te 3.31, 2 Ag 3.57
Sr: 0.7796 0.2204 0.2500  4 Se 3.22, 2 Te 3.31, 2 Ag 3.57
Tb: 0.0000 0.0000 0.0000  4 Se 2.92, 2 Te 3.15
Tb: 0.0000 0.0000 0.5000  4 Se 2.92, 2 Te 3.15
Ag: 0.4778 0.5222 0.2500  2 Se 2.64, 2 Te 2.78
Ag: 0.5222 0.4778 0.7500  2 Se 2.64, 2 Te 2.78
Te: 0.1033 0.8967 0.2500  2 Ag 2.78
Te: 0.8967 0.1033 0.7500  2 Ag 2.78
Se: 0.3675 0.6325 0.0612  1 Ag 2.64, 2 Tb 2.92
Se: 0.3675 0.6325 0.4388  1 Ag 2.64, 2 Tb 2.92
Se: 0.6325 0.3675 0.5612  1 Ag 2.64, 2 Tb 2.92
Se: 0.6325 0.3675 0.9388  1 Ag 2.64, 2 Tb 2.92



Computed, not measured: a relaxed structure of SrTmAgTeSe2 at the GGA-PBE level of DFT.

Properties
Crystal system = orthorhombic
Space-group type = Cmcm

abc: 7.5535 7.5535 10.9729
angles: 90.00 90.00 148.14
Last column: nearest neighbours and their distance in Å.
Sites, in units of the cell vectors:
Sr: 0.2205 0.7795 0.7500  4 Se 3.24, 2 Te 3.31, 2 Ag 3.52
Sr: 0.7795 0.2205 0.2500  4 Se 3.24, 2 Te 3.31, 2 Ag 3.52
Tm: 0.0000 0.0000 0.0000  4 Se 2.89, 2 Te 3.11
Tm: 0.0000 0.0000 0.5000  4 Se 2.89, 2 Te 3.11
Ag: 0.4750 0.5250 0.2500  2 Se 2.62, 2 Te 2.77
Ag: 0.5250 0.4750 0.7500  2 Se 2.62, 2 Te 2.77
Te: 0.1016 0.8984 0.2500  2 Ag 2.77
Te: 0.8984 0.1016 0.7500  2 Ag 2.77
Se: 0.3686 0.6314 0.0567  1 Ag 2.62, 2 Tm 2.89
Se: 0.3686 0.6314 0.4433  1 Ag 2.62, 2 Tm 2.89
Se: 0.6314 0.3686 0.5567  1 Ag 2.62, 2 Tm 2.89
Se: 0.6314 0.3686 0.9433  1 Ag 2.62, 2 Tm 2.89



Computed, not measured: a relaxed structure of SrYAgTe2Se at the GGA-PBE level of DFT.

Properties
Crystal system = orthorhombic
Space-group type = Cmcm

abc: 7.6850 7.6850 10.8146
angles: 90.00 90.00 147.47
Last column: nearest neighbours and their distance in Å.
Sites, in units of the cell vectors:
Sr: 0.2384 0.7616 0.7500  2 Se 3.16, 4 Te 3.47
Sr: 0.7616 0.2384 0.2500  2 Se 3.16, 4 Te 3.47
Y: 0.5000 0.5000 0.0000  2 Se 2.96, 4 Te 3.11
Y: 0.5000 0.5000 0.5000  2 Se 2.96, 4 Te 3.11
Ag: 0.0262 0.9738 0.2500  2 Se 2.68, 2 Te 2.78
Ag: 0.9738 0.0262 0.7500  2 Se 2.68, 2 Te 2.78
Te: 0.1473 0.8527 0.0531  1 Ag 2.78, 2 Y 3.11
Te: 0.1473 0.8527 0.4469  1 Ag 2.78, 2 Y 3.11
Te: 0.8527 0.1473 0.5531  1 Ag 2.78, 2 Y 3.11
Te: 0.8527 0.1473 0.9469  1 Ag 2.78, 2 Y 3.11
Se: 0.4184 0.5816 0.2500  2 Ag 2.68, 2 Y 2.96
Se: 0.5816 0.4184 0.7500  2 Ag 2.68, 2 Y 2.96



Computed, not measured: a relaxed structure of TaTlAgTeSe2 at the GGA-PBE level of DFT.

Properties
Crystal system = orthorhombic
Space-group type = Cmcm

abc: 8.1096 8.1096 10.7224
angles: 90.00 90.00 153.67
Last column: nearest neighbours and their distance in Å.
Sites, in units of the cell vectors:
Ta: 0.0000 0.0000 0.0000  4 Se 2.64
Ta: 0.0000 0.0000 0.5000  4 Se 2.64
Tl: 0.2347 0.7653 0.7500  2 Ag 3.38, 2 Te 3.47, 4 Se 3.53, 2 Tl 3.69
Tl: 0.7653 0.2347 0.2500  2 Ag 3.38, 2 Te 3.47, 4 Se 3.53, 2 Tl 3.69
Ag: 0.4442 0.5558 0.2500  2 Se 2.57, 2 Te 2.82
Ag: 0.5558 0.4442 0.7500  2 Se 2.57, 2 Te 2.82
Te: 0.0792 0.9208 0.2500  2 Ag 2.82, 2 Ta 2.96
Te: 0.9208 0.0792 0.7500  2 Ag 2.82, 2 Ta 2.96
Se: 0.3822 0.6178 0.0289  1 Ag 2.57, 2 Ta 2.64
Se: 0.3822 0.6178 0.4711  1 Ag 2.57, 2 Ta 2.64
Se: 0.6178 0.3822 0.5289  1 Ag 2.57, 2 Ta 2.64
Se: 0.6178 0.3822 0.9711  1 Ag 2.57, 2 Ta 2.64



Computed, not measured: a relaxed structure of TaTlAgTe2Se at the GGA-PBE level of DFT.

Properties
Crystal system = orthorhombic
Space-group type = Cmcm

abc: 7.9975 7.9975 10.4639
angles: 90.00 90.00 151.48
Last column: nearest neighbours and their distance in Å.
Sites, in units of the cell vectors:
Ta: 0.0000 0.0000 0.0000  2 Se 2.81, 4 Te 2.86
Ta: 0.0000 0.0000 0.5000  2 Se 2.81, 4 Te 2.86
Tl: 0.2496 0.7504 0.7500  6 Te 3.43-3.55, 2 Se 3.46, 2 Ag 3.74
Tl: 0.7504 0.2496 0.2500  6 Te 3.43-3.55, 2 Se 3.46, 2 Ag 3.74
Ag: 0.4558 0.5442 0.2500  2 Se 2.62, 2 Te 2.70
Ag: 0.5442 0.4558 0.7500  2 Se 2.62, 2 Te 2.70
Te: 0.3672 0.6328 0.0274  1 Ag 2.70, 2 Ta 2.86
Te: 0.3672 0.6328 0.4726  1 Ag 2.70, 2 Ta 2.86
Te: 0.6328 0.3672 0.5274  1 Ag 2.70, 2 Ta 2.86
Te: 0.6328 0.3672 0.9726  1 Ag 2.70, 2 Ta 2.86
Se: 0.0669 0.9331 0.2500  2 Ag 2.62, 2 Ta 2.81
Se: 0.9331 0.0669 0.7500  2 Ag 2.62, 2 Ta 2.81



Computed, not measured: a relaxed structure of TaTlAgSe3 at the GGA-PBE level of DFT.

Properties
Crystal system = orthorhombic
Space-group type = Cmcm

abc: 7.7747 7.7747 10.3648
angles: 90.00 90.00 152.59
Last column: nearest neighbours and their distance in Å.
Sites, in units of the cell vectors:
Ta: 0.0000 0.0000 0.0000  6 Se 2.64-2.77
Ta: 0.0000 0.0000 0.5000  6 Se 2.64-2.77
Tl: 0.2535 0.7465 0.7500  8 Se 3.29-3.58, 2 Ag 3.42, 2 Tl 3.68
Tl: 0.7465 0.2535 0.2500  8 Se 3.29-3.58, 2 Ag 3.42, 2 Tl 3.68
Ag: 0.4374 0.5626 0.2500  4 Se 2.55-2.67
Ag: 0.5626 0.4374 0.7500  4 Se 2.55-2.67
Se: 0.0657 0.9343 0.2500  2 Ag 2.67, 2 Ta 2.77
Se: 0.3754 0.6246 0.0216  1 Ag 2.55, 2 Ta 2.64
Se: 0.3754 0.6246 0.4784  1 Ag 2.55, 2 Ta 2.64
Se: 0.6246 0.3754 0.5216  1 Ag 2.55, 2 Ta 2.64
Se: 0.6246 0.3754 0.9784  1 Ag 2.55, 2 Ta 2.64
Se: 0.9343 0.0657 0.7500  2 Ag 2.67, 2 Ta 2.77



Computed, not measured: a relaxed structure of Tb2AgSe3 at the GGA-PBE level of DFT.

Properties
Crystal system = orthorhombic
Space-group type = Pnma

abc: 8.8737 3.9562 16.4443
angles: 90.00 90.00 90.00
Last column: nearest neighbours and their distance in Å.
Sites, in units of the cell vectors:
Tb: 0.1225 0.2500 0.2104  7 Se 2.88-3.14
Tb: 0.1684 0.2500 0.9447  6 Se 2.87-2.96
Tb: 0.3316 0.7500 0.4447  6 Se 2.87-2.96
Tb: 0.3775 0.7500 0.7104  7 Se 2.88-3.14
Tb: 0.6225 0.2500 0.2896  7 Se 2.88-3.14
Tb: 0.6684 0.2500 0.5553  6 Se 2.87-2.96
Tb: 0.8316 0.7500 0.0553  6 Se 2.87-2.96
Tb: 0.8775 0.7500 0.7896  7 Se 2.88-3.14
Ag: 0.0506 0.2500 0.5585  4 Se 2.64-2.92, 2 Ag 2.90
Ag: 0.4494 0.7500 0.0585  4 Se 2.64-2.92, 2 Ag 2.90
Ag: 0.5506 0.2500 0.9415  4 Se 2.64-2.92, 2 Ag 2.90
Ag: 0.9494 0.7500 0.4415  4 Se 2.64-2.92, 2 Ag 2.90
Se: 0.1228 0.2500 0.7666  5 Tb 2.96-3.14
Se: 0.1238 0.2500 0.3857  3 Ag 2.67-2.92, 3 Tb 2.87-2.88
Se: 0.1540 0.7500 0.0766  1 Ag 2.64, 3 Tb 2.88-2.94
Se: 0.3460 0.2500 0.5766  1 Ag 2.64, 3 Tb 2.88-2.94
Se: 0.3762 0.7500 0.8857  3 Ag 2.67-2.92, 3 Tb 2.87-2.88
Se: 0.3772 0.7500 0.2666  5 Tb 2.96-3.14
Se: 0.6228 0.2500 0.7334  5 Tb 2.96-3.14
Se: 0.6238 0.2500 0.1143  3 Ag 2.67-2.92, 3 Tb 2.87-2.88
Se: 0.6540 0.7500 0.4234  1 Ag 2.64, 3 Tb 2.88-2.94
Se: 0.8460 0.2500 0.9234  1 Ag 2.64, 3 Tb 2.88-2.94
Se: 0.8762 0.7500 0.6143  3 Ag 2.67-2.92, 3 Tb 2.87-2.88
Se: 0.8772 0.7500 0.2334  5 Tb 2.96-3.14



Computed, not measured: a relaxed structure of Tb2AgSe3 at the GGA-PBE level of DFT.

Properties
Crystal system = orthorhombic
Space-group type = Pnma

abc: 10.4736 3.9858 13.6278
angles: 90.00 90.00 90.00
Last column: nearest neighbours and their distance in Å.
Sites, in units of the cell vectors:
Tb: 0.0171 0.2500 0.2468  6 Se 2.92-3.04
Tb: 0.2257 0.7500 0.5240  7 Se 2.96-3.30
Tb: 0.2743 0.2500 0.0240  7 Se 2.96-3.30
Tb: 0.4829 0.7500 0.7468  6 Se 2.92-3.04
Tb: 0.5171 0.2500 0.2532  6 Se 2.92-3.04
Tb: 0.7257 0.7500 0.9760  7 Se 2.96-3.30
Tb: 0.7743 0.2500 0.4760  7 Se 2.96-3.30
Tb: 0.9829 0.7500 0.7532  6 Se 2.92-3.04
Ag: 0.2340 0.2500 0.7318  4 Se 2.62-2.68
Ag: 0.2660 0.7500 0.2318  4 Se 2.62-2.68
Ag: 0.7340 0.2500 0.7682  4 Se 2.62-2.68
Ag: 0.7660 0.7500 0.2682  4 Se 2.62-2.68
Se: 0.0428 0.2500 0.6023  1 Ag 2.67, 4 Tb 2.93-2.96
Se: 0.0853 0.7500 0.0992  1 Ag 2.62, 2 Tb 2.92
Se: 0.2357 0.7500 0.8634  2 Ag 2.68, 2 Tb 2.99
Se: 0.2643 0.2500 0.3634  2 Ag 2.68, 2 Tb 2.99
Se: 0.4147 0.2500 0.5992  1 Ag 2.62, 2 Tb 2.92
Se: 0.4572 0.7500 0.1023  1 Ag 2.67, 4 Tb 2.93-2.96
Se: 0.5428 0.2500 0.8977  1 Ag 2.67, 4 Tb 2.93-2.96
Se: 0.5853 0.7500 0.4008  1 Ag 2.62, 2 Tb 2.92
Se: 0.7357 0.7500 0.6366  2 Ag 2.68, 2 Tb 2.99
Se: 0.7643 0.2500 0.1366  2 Ag 2.68, 2 Tb 2.99
Se: 0.9147 0.2500 0.9008  1 Ag 2.62, 2 Tb 2.92
Se: 0.9572 0.7500 0.3977  1 Ag 2.67, 4 Tb 2.93-2.96



Number 1: DFT total energy -4.86 eV/atom. Number 2: DFT total energy -4.78 eV/atom. Number 3: DFT total energy -4.60 eV/atom. Number 4: DFT total energy -4.55 eV/atom. Number 5: DFT total energy -4.77 eV/atom. Number 6: DFT total energy -4.82 eV/atom. Number 7: DFT total energy -4.66 eV/atom. Number 8: DFT total energy -4.96 eV/atom. Number 9: DFT total energy -5.09 eV/atom. Number 10: DFT total energy -5.09 eV/atom.